# 1
An optimized crystal structure of TbH6Rh2, computed with PBE-GGA.

Cell: 3.9897 3.9897 5.8203 Å, 70.62 70.62 90.03°
Positions (direct):
Tb 0.5000 0.0000 0.0000
H 0.0875 0.1041 0.8219
H 0.3959 0.4125 0.1781
H 0.9125 0.8959 0.1781
H 0.6041 0.5875 0.8219
H 0.2606 0.7606 0.5003
H 0.7394 0.2394 0.4997
Rh 0.2476 0.2524 0.5000
Rh 0.7524 0.7476 0.5000

Results
The calculation puts the distance to the lowest polymorph of the same formula at 0.0 meV per atom. As for the crystal system: monoclinic.

# 2
An optimized crystal structure of TbH7Rh4, computed with PBE-GGA.

Cell: 4.6382 5.4202 9.0371 Å, 90.00 90.00 90.00°
Positions (direct):
Tb 0.5489 0.7233 0.5000
Tb 0.0489 0.2767 0.0000
H 0.9321 0.5787 0.1764
H 0.4321 0.4213 0.3236
H 0.5582 0.3167 0.8970
H 0.0582 0.6833 0.6030
H 0.0582 0.6833 0.3970
H 0.5582 0.3167 0.1030
H 0.3796 0.9104 0.8693
H 0.8796 0.0896 0.6307
H 0.8796 0.0896 0.3693
H 0.3796 0.9104 0.1307
H 0.6730 0.7444 0.0000
H 0.1730 0.2556 0.5000
H 0.9321 0.5787 0.8236
H 0.4321 0.4213 0.6764
Rh 0.5470 0.6114 0.8369
Rh 0.0495 0.8879 0.2365
Rh 0.5495 0.1121 0.2635
Rh 0.0470 0.3886 0.6631
Rh 0.0470 0.3886 0.3369
Rh 0.5470 0.6114 0.1631
Rh 0.0495 0.8879 0.7635
Rh 0.5495 0.1121 0.7365

Results
As for the crystal system: orthorhombic.

# 3
An optimized crystal structure of TbH12Rh4, computed with PBE-GGA.

Cell: 5.8207 5.8207 5.8207 Å, 109.47 109.47 109.47°
Positions (direct):
Tb 0.0000 0.0000 0.0000
H 0.7826 0.3025 0.0851
H 0.3025 0.5199 0.2174
H 0.9149 0.2174 0.6975
H 0.3025 0.0851 0.7826
H 0.0851 0.7826 0.3025
H 0.6975 0.4801 0.7826
H 0.5199 0.2174 0.3025
H 0.4801 0.7826 0.6975
H 0.6975 0.9149 0.2174
H 0.7826 0.6975 0.4801
H 0.2174 0.3025 0.5199
H 0.2174 0.6975 0.9149
Rh 0.0000 0.5000 0.0000
Rh 0.5000 0.0000 0.0000
Rh 0.5000 0.5000 0.5000
Rh 0.0000 0.0000 0.5000

Results
As for the crystal system: cubic.

# 4
An optimized crystal structure of TbH12Rh6, computed with PBE-GGA.

Cell: 5.4784 5.4784 5.4784 Å, 102.19 102.19 102.19°
Positions (direct):
Tb 0.0000 0.0000 0.0000
H 0.4506 0.1808 0.5634
H 0.1808 0.5634 0.4506
H 0.5634 0.4506 0.1808
H 0.5494 0.8192 0.4366
H 0.8192 0.4366 0.5494
H 0.4366 0.5494 0.8192
H 0.1350 0.9561 0.6317
H 0.3683 0.8650 0.0439
H 0.0439 0.3683 0.8650
H 0.8650 0.0439 0.3683
H 0.6317 0.1350 0.9561
H 0.9561 0.6317 0.1350
Rh 0.1651 0.2758 0.5824
Rh 0.7242 0.4176 0.8349
Rh 0.4176 0.8349 0.7242
Rh 0.8349 0.7242 0.4176
Rh 0.2758 0.5824 0.1651
Rh 0.5824 0.1651 0.2758

Results
As for the crystal system: trigonal.

# 5
An optimized crystal structure of Tb4HRh2, computed with PBE-GGA.

Cell: 4.6170 4.6170 7.8824 Å, 107.03 107.03 90.00°
Positions (direct):
Rh 0.6262 0.6262 0.2525
Rh 0.3738 0.3738 0.7475
Tb 0.8115 0.8115 0.6229
Tb 0.1885 0.1885 0.3771
Tb 0.0000 0.5000 0.0000
Tb 0.5000 0.0000 0.0000
H 0.0000 0.0000 0.0000

Results
As for the crystal system: tetragonal.

# 6
An optimized crystal structure of Tb2HRh, computed with PBE-GGA.

Cell: 4.0864 4.0864 7.5957 Å, 74.40 74.40 60.00°
Positions (direct):
Rh 0.5000 0.5000 0.5000
Tb 0.0997 0.0997 0.7008
Tb 0.9003 0.9003 0.2992
H 0.0000 0.0000 0.0000

Results
The calculation puts the distance to the lowest polymorph of the same formula at 237.3 meV per atom. As for the crystal system: trigonal.

| no. | DOS at the Fermi energy (states/eV per cell) | calculated total energy (eV per atom) |
| --- | --- | --- |
| 1 | 1.23 | -4.72 |
| 2 | 5.73 | -4.98 |
| 3 | 2.84 | -4.52 |
| 4 | 5.73 | -4.85 |
| 5 | 5.31 | -5.78 |
| 6 | 1.45 | -5.42 |